Record 1
Below is an optimized crystal structure of LiAs2, with properties calculated at the GGA-PBEsol level.

Cell: 3.701 6.281 6.745 Å, 125.03 90.00 107.13°
Fractional positions:
As 0.975 0.951 0.652
As 0.637 0.275 0.919
As 0.363 0.725 0.081
As 0.025 0.049 0.348
Li 0.229 0.457 0.286
Li 0.771 0.543 0.714

Calculated values
The space-group type is C2/m. Its calculated total energy is -12.87 eV per formula unit.

***

Record 2
Below is an optimized crystal structure of LiAs3, with properties calculated at the GGA-PBEsol level.

Cell: 2.922 4.105 5.857 Å, 90.00 90.00 90.00°
Fractional positions:
As 0.500 0.500 0.781
As 0.000 0.000 0.500
As 0.500 0.500 0.219
Li 0.000 0.000 0.000

Calculated values
The space-group type is Pmmm. As for the energy above the most stable polymorph in this dataset: 0.170 eV/atom. Its calculated total energy is -17.07 eV per formula unit.

***

Record 3
Below is an optimized crystal structure of LiAs, with properties calculated at the GGA-PBEsol level.

Cell: 2.820 4.720 5.355 Å, 109.39 105.27 90.00°
Fractional positions:
As 0.111 0.233 0.222
As 0.889 0.767 0.778
Li 0.623 0.750 0.247
Li 0.377 0.250 0.753

Calculated values
The space-group type is C2/m. Its calculated total energy is -8.00 eV per formula unit.

***

Record 4
Below is an optimized crystal structure of LiMgAs2, with properties calculated at the GGA-PBEsol level.

Cell: 3.475 4.103 5.766 Å, 110.84 107.53 90.00°
Fractional positions:
As 0.992 0.992 0.984
As 0.296 0.796 0.593
Mg 0.721 0.221 0.442
Li 0.491 0.491 0.982

Calculated values
The space-group type is Imm2. Its calculated total energy is -15.25 eV per formula unit.

***

Record 5
Below is an optimized crystal structure of Li2MgAs2, with properties calculated at the GGA-PBEsol level.

Cell: 2.907 7.642 7.642 Å, 90.00 90.00 90.00°
Fractional positions:
As 0.000 0.322 0.822
As 0.000 0.822 0.678
As 0.000 0.678 0.178
As 0.000 0.178 0.322
Mg 0.000 0.000 0.000
Mg 0.000 0.500 0.500
Li 0.500 0.120 0.620
Li 0.500 0.620 0.880
Li 0.500 0.880 0.380
Li 0.500 0.380 0.120

Calculated values
The space-group type is P4/mbm. Its calculated total energy is -18.04 eV per formula unit.

***

Record 6
Below is an optimized crystal structure of Li2Mg2As, with properties calculated at the GGA-PBEsol level.

Cell: 4.415 6.382 6.382 Å, 90.00 90.00 90.00°
Fractional positions:
As 0.000 0.000 0.000
As 0.000 0.500 0.500
Mg 0.500 0.173 0.673
Mg 0.500 0.673 0.827
Mg 0.500 0.827 0.327
Mg 0.500 0.327 0.173
Li 0.000 0.357 0.857
Li 0.000 0.857 0.643
Li 0.000 0.643 0.143
Li 0.000 0.143 0.357

Calculated values
The space-group type is P4/mbm. Its calculated total energy is -13.66 eV per formula unit.

***

Record 7
Below is an optimized crystal structure of LiMgAs3, with properties calculated at the GGA-PBEsol level.

Cell: 4.943 4.943 4.943 Å, 90.00 90.00 90.00°
Fractional positions:
As 0.000 0.500 0.000
As 0.000 0.000 0.500
As 0.500 0.000 0.000
Mg 0.000 0.000 0.000
Li 0.500 0.500 0.500

Calculated values
The space-group type is Pm-3m. Its calculated total energy is -16.90 eV per formula unit.

***

Record 8
Below is an optimized crystal structure of LiMgAs2, with properties calculated at the GGA-PBEsol level.

Cell: 3.051 4.868 4.868 Å, 104.88 90.00 90.00°
Fractional positions:
As 0.000 0.000 0.500
As 0.000 0.500 0.000
Mg 0.500 0.000 0.000
Li 0.500 0.500 0.500

Calculated values
The space-group type is Cmmm. Its calculated total energy is -15.37 eV per formula unit.

***

Record 9
Below is an optimized crystal structure of LiMgAs2Se, with properties calculated at the GGA-PBEsol level.

Cell: 4.926 4.926 5.098 Å, 90.00 90.00 90.00°
Fractional positions:
As 0.000 0.500 0.000
As 0.500 0.000 0.000
Mg 0.000 0.000 0.000
Se 0.000 0.000 0.500
Li 0.500 0.500 0.500

Calculated values
For the uncorrected formation energy, the calculation gives 5.63 kcal/mol of atoms. The space-group type is P4/mmm. Its calculated total energy is -16.53 eV per formula unit.

***

Record 10
Below is an optimized crystal structure of Li3MnAs, with properties calculated at the GGA-PBEsol level.

Cell: 4.731 4.731 4.731 Å, 90.00 90.00 90.00°
Each line ends with the local moment (μB).
Fractional positions:
As 0.000 0.000 0.000  0.11
Mn 0.500 0.500 0.500  4.43
Li 0.000 0.500 0.000  0.00
Li 0.000 0.000 0.500  0.00
Li 0.500 0.000 0.000  0.00

Calculated values
The space-group type is Pm-3m. Its calculated total energy is -19.53 eV per formula unit.

***

Record 11
Below is an optimized crystal structure of Li2MnAs, with properties calculated at the GGA-PBEsol level.

Cell: 3.686 3.686 4.153 Å, 90.00 90.00 90.00°
Each line ends with the local moment (μB).
Fractional positions:
As 0.000 0.000 0.500  0.01
Mn 0.500 0.500 0.500  3.62
Li 0.000 0.500 0.000  -0.01
Li 0.500 0.000 0.000  -0.01

Calculated values
The space-group type is P4/mmm. Its calculated total energy is -19.71 eV per formula unit.

***

Record 12
Below is an optimized crystal structure of LiMn3As, with properties calculated at the GGA-PBEsol level.

Cell: 4.150 4.150 4.150 Å, 90.00 90.00 90.00°
Each line ends with the local moment (μB).
Fractional positions:
As 0.500 0.500 0.500  -0.09
Mn 0.000 0.500 0.000  3.38
Mn 0.000 0.000 0.500  3.38
Mn 0.500 0.000 0.000  3.38
Li 0.000 0.000 0.000  -0.07

Calculated values
The space-group type is Pm-3m. Its calculated total energy is -31.25 eV per formula unit.